(1)
4
Lattice="-0.251 1.267 2.816 0.136 -1.793 2.523 9.193 0.962 2.090" Properties=species:S:1:pos:R:3 comment="TeRu2Se (GGA-PBEsol, optimized geometry)" final_energy_ev_per_cell=-26.72 e_form_raw_ev_per_atom=0.25 relative_energy_mev_per_atom=156.4 pbc="T T T"
Ru 9.058 0.945 2.085
Ru 6.784 0.323 5.571
Se 5.259 0.306 3.739
Te 1.710 0.040 1.838

=====

(2)
5
Lattice="-4.371 1.754 -1.386 0.844 -1.524 -4.590 -2.071 -4.324 1.056" Properties=species:S:1:pos:R:3 comment="NaPbAu3 (GGA-PBEsol, optimized geometry)" final_energy_ev_per_cell=-13.84 pbc="T T T"
Pb -2.799 -2.047 -2.460
Na 0.000 0.000 0.000
Au 0.422 -0.762 -2.295
Au -1.035 -2.162 0.528
Au -2.185 0.877 -0.693

=====

(3)
4
Lattice="3.549 0.000 0.000 0.000 3.549 0.000 0.000 0.000 3.587" Properties=species:S:1:pos:R:3 comment="MnCo2Mo (GGA-PBEsol, optimized geometry)" final_energy_ev_per_cell=-37.13 relative_energy_mev_per_atom=0.0 pbc="T T T"
Mo 0.000 0.000 1.794
Mn 1.774 1.774 1.794
Co 0.000 1.774 0.000
Co 1.774 0.000 0.000

=====

(4)
5
Lattice="-4.196 0.903 -2.063 -2.251 -1.548 3.901 0.069 4.412 1.791" Properties=species:S:1:pos:R:3 comment="BeRe3Sb (GGA-PBEsol, optimized geometry)" final_energy_ev_per_cell=-33.29 e_form_raw_ev_per_atom=3.05 pbc="T T T"
Re -1.125 -0.774 1.950
Re 0.034 2.206 0.895
Re -2.098 0.451 -1.031
Be -3.189 1.883 1.814
Sb 0.000 0.000 0.000

=====

Ordered V results: 19.34, 23.66, 11.29, 21.60; unit Å³ per atom.